Entry 1:
Below is an optimized crystal structure of Sc2Nb4Au3C3, with properties calculated at the PBE level.

Properties
space-group type	No. 15

CIF file:
```
data_Sc2Nb4Au3C3
_space_group_name_H-M_alt 'P 1'
_space_group_IT_number 1
_cell_length_a 5.603
_cell_length_b 5.603
_cell_length_c 14.322
_cell_angle_alpha 101.38
_cell_angle_beta 101.38
_cell_angle_gamma 59.87
loop_
_space_group_symop_operation_xyz
'x,y,z'
loop_
_atom_site_label
_atom_site_fract_x
_atom_site_fract_y
_atom_site_fract_z
Sc1 0.375 0.536 0.106
Au1 0.996 0.004 0.750
Sc2 0.536 0.375 0.606
Au2 0.588 0.819 0.752
Au3 0.181 0.412 0.748
Nb1 0.202 0.017 0.580
Sc3 0.625 0.464 0.894
Nb2 0.017 0.202 0.080
Au4 0.412 0.181 0.248
C1 0.836 0.332 0.500
Au5 0.819 0.588 0.252
Sc4 0.464 0.625 0.394
Nb3 0.798 0.983 0.420
Nb4 0.692 0.853 0.080
C2 0.000 0.500 0.000
Nb5 0.983 0.798 0.920
Nb6 0.853 0.692 0.580
Nb7 0.147 0.308 0.420
C3 0.668 0.164 0.000
Au6 0.004 0.996 0.250
C4 0.332 0.836 0.000
Nb8 0.308 0.147 0.920
C5 0.164 0.668 0.500
C6 0.500 0.000 0.500
```

Entry 2:
Below is an optimized crystal structure of Ta4Nb2Au3C3, with properties calculated at the PBE level.

Properties
space-group type	No. 15

CIF file:
```
data_Ta4Nb2Au3C3
_space_group_name_H-M_alt 'P 1'
_space_group_IT_number 1
_cell_length_a 5.472
_cell_length_b 5.472
_cell_length_c 14.311
_cell_angle_alpha 101.02
_cell_angle_beta 101.02
_cell_angle_gamma 59.99
loop_
_space_group_symop_operation_xyz
'x,y,z'
loop_
_atom_site_label
_atom_site_fract_x
_atom_site_fract_y
_atom_site_fract_z
Ta1 0.695 0.860 0.586
C1 0.669 0.162 0.500
Ta2 0.973 0.803 0.414
Ta3 0.140 0.305 0.914
Nb1 0.529 0.364 0.086
Au1 0.416 0.245 0.750
Au2 0.755 0.584 0.750
Au3 0.584 0.755 0.250
Au4 0.922 0.078 0.250
Nb2 0.364 0.529 0.586
Au5 0.078 0.922 0.750
Nb3 0.636 0.471 0.414
Ta4 0.197 0.027 0.086
Ta5 0.027 0.197 0.586
Nb4 0.471 0.636 0.914
Ta6 0.803 0.973 0.914
Ta7 0.860 0.695 0.086
C2 0.500 0.000 0.000
C3 0.162 0.669 0.000
Au6 0.245 0.416 0.250
C4 0.331 0.838 0.500
C5 0.838 0.331 0.000
Ta8 0.305 0.140 0.414
C6 0.000 0.500 0.500
```

Values of final energy, in order: -96.58; -110.17, all in eV/f.u..
Values of calculated volume, in order: 379; 362, all in Å³/cell.